10
Lattice="5.5329 -3.6364 0.0000 5.5329 3.6364 0.0000 -2.7518 0.0000 7.3539" Properties=species:S:1:pos:R:3 comment="PBE DyEr3Hg, relaxed" formation_energy_kj_per_mol_fu=-57 sg="C2/m, No. 12" total_energy_ev_per_atom=-3.84 pbc="T T T"
Dy 0.0093 0.0000 1.7600
Dy 8.3047 0.0000 5.5939
Er 2.7756 1.8164 2.6517
Er 5.5384 1.8164 4.7022
Er 2.7692 0.0000 5.5801
Er 5.5449 0.0000 1.7737
Er 2.7756 -1.8164 2.6517
Er 5.5384 -1.8164 4.7022
Hg 0.0456 0.0000 7.3526
Hg 8.2685 0.0000 0.0013